No. 1
Crystalline OsC2 at its relaxed geometry, computed with PBE.

Properties
Final energy ... -6.684 eV/atom
E above lowest polymorph ... 2609.6 meV/atom
Magnetic moment ... 0.00 μB/f.u.

Cell: 6.1134 6.1134 6.1134 Å, 90.00 90.00 90.00°
Last column: nearest neighbours and their distance in Å.
Space group Fd-3m (No. 227, origin choice 2)
Inequivalent atoms, fractional coordinates:
Os 0.1250 0.1250 0.1250 [8 per cell]  12 C 2.53, 4 Os 2.65
C 0.0000 0.0000 0.5000 [16 per cell]  6 C 2.16

No. 2
Crystalline BaFeAgSe3 at its relaxed geometry, computed with PBE.

Properties
Final energy ... -4.587 eV/atom
E above lowest polymorph ... 0.0 meV/atom
Magnetic moment ... 3.64 μB/f.u.

Cell: 13.9130 4.1853 10.0712 Å, 90.00 90.00 90.00°
Last column: nearest neighbours and their distance in Å.
Space group Pnma (No. 62)
Inequivalent atoms, fractional coordinates:
Ba 0.2363 0.2500 0.0595 [4 per cell]  8 Se 3.30-3.64
Fe 0.0155 0.2500 0.3344 [4 per cell]  4 Se 2.48-2.69
Ag 0.0071 0.7500 0.0969 [4 per cell]  4 Se 2.60-2.86, 2 Ag 2.87
Se 0.0803 0.2500 0.5634 [4 per cell]  3 Fe 2.48-2.69
Se 0.1074 0.7500 0.8487 [4 per cell]  1 Fe 2.52, 2 Ag 2.69
Se 0.1402 0.7500 0.2773 [4 per cell]  1 Ag 2.60, 2 Fe 2.78

What is the E above lowest polymorph in the first record? 2609.6 meV/atom

Among the records above, which one has the lowest final energy? OsC2

What is the formula in the first record? OsC2